No. 1
A plane-wave DFT calculation with GGA-PBE was carried out for an optimized crystal structure of HgPb8Au2.

- Magnetic moment: 0.0 Bohr magnetons per cell
- Uncorrected energy: -3.33 eV per atom
- D(E_F): 0.343 states/eV per atom
- Formation energy: -0.0107 eV/atom

Cell lengths 7.9447, 7.9447, 5.6747 Å; angles 98.75, 98.75, 109.94 degrees
Atoms (fractional coordinates):
Hg 0.0000 0.0000 0.0000
Pb 0.0753 0.3323 0.6127
Pb 0.2441 0.7559 0.0000
Pb 0.3323 0.0753 0.6127
Pb 0.3631 0.3631 0.1720
Pb 0.6369 0.6369 0.8280
Pb 0.6677 0.9247 0.3873
Pb 0.7559 0.2441 0.0000
Pb 0.9247 0.6677 0.3873
Au 0.3220 0.6780 0.5000
Au 0.6780 0.3220 0.5000

=====

No. 2
A plane-wave DFT calculation with GGA-PBE was carried out for an optimized crystal structure of NaLiPW2.

- Magnetic moment: 3.0 Bohr magnetons per cell
- Uncorrected energy: -4.22 eV per atom
- D(E_F): 1.100 states/eV per atom
- Formation energy: 2.6884 eV/atom

Cell lengths 4.6842, 4.6842, 4.6735 Å; angles 90.00, 90.00, 90.00 degrees
Atoms (fractional coordinates):
Na 0.0000 0.0000 0.0000
Li 0.5000 0.5000 0.5000
P 0.0000 0.0000 0.5000
W 0.0000 0.5000 0.0000
W 0.5000 0.0000 0.0000

=====

No. 3
A plane-wave DFT calculation with GGA-PBE was carried out for an optimized crystal structure of KMgC3.

- Magnetic moment: 3.0 Bohr magnetons per cell
- Uncorrected energy: -2.17 eV per atom
- D(E_F): 0.575 states/eV per atom
- Energy above the lowest structure with this stoichiometry: 1.237 eV per atom
- Formation energy: 3.8994 eV/atom

Cell lengths 4.5688, 4.5688, 4.5688 Å; angles 90.00, 90.00, 90.00 degrees
Atoms (fractional coordinates):
K 0.0000 0.0000 0.0000
Mg 0.5000 0.5000 0.5000
C 0.0000 0.0000 0.5000
C 0.0000 0.5000 0.0000
C 0.5000 0.0000 0.0000

=====

No. 4
A plane-wave DFT calculation with GGA-PBE was carried out for an optimized crystal structure of HgP2W.

- Magnetic moment: 0.0 Bohr magnetons per cell
- Uncorrected energy: -5.74 eV per atom
- D(E_F): 0.624 states/eV per atom
- Formation energy: 0.2758 eV/atom

Cell lengths 3.3000, 4.8326, 10.1528 Å; angles 90.00, 90.00, 90.00 degrees
Atoms (fractional coordinates):
Hg 0.0000 0.0000 0.0000
Hg 0.5000 0.5000 0.0000
P 0.0000 0.5000 0.3218
P 0.0000 0.5000 0.6782
P 0.5000 0.0000 0.3218
P 0.5000 0.0000 0.6782
W 0.0000 0.0000 0.5000
W 0.5000 0.5000 0.5000